1.
Computed, not measured: crystalline Sm2WN5 at its relaxed geometry at the PBE-GGA level of DFT.

Cell and atoms, written as POSCAR:
```
Sm2WN5
1.0
2.133 -6.002 0.000
2.133 6.002 0.000
0.000 0.000 10.209
Sm W N
4 2 10
Direct
0.141 0.859 0.560 Sm
0.141 0.859 0.940 Sm
0.859 0.141 0.060 Sm
0.859 0.141 0.440 Sm
0.220 0.780 0.250 W
0.780 0.220 0.750 W
0.054 0.946 0.183 N
0.054 0.946 0.317 N
0.262 0.738 0.750 N
0.298 0.702 0.086 N
0.298 0.702 0.414 N
0.702 0.298 0.586 N
0.702 0.298 0.914 N
0.738 0.262 0.250 N
0.946 0.054 0.683 N
0.946 0.054 0.817 N
```

Results
Energy in eV per atom: -8.66
Symmetry: No. 63
Formation energy without anion corrections in eV/atom: -0.659

=====

2.
Computed, not measured: crystalline Sm3WN4 at its relaxed geometry at the PBE-GGA level of DFT.

Cell and atoms, written as POSCAR:
```
Sm3WN4
1.0
5.199 0.000 0.000
0.000 7.830 0.000
-0.229 0.000 6.771
Sm W N
6 2 8
Direct
0.000 0.000 0.000 Sm
0.019 0.244 0.500 Sm
0.019 0.756 0.500 Sm
0.507 0.234 0.173 Sm
0.507 0.766 0.173 Sm
0.528 0.500 0.695 Sm
0.066 0.500 0.004 W
0.555 0.000 0.642 W
0.015 0.287 0.140 N
0.015 0.713 0.140 N
0.032 0.500 0.712 N
0.437 0.500 0.030 N
0.502 0.000 0.925 N
0.525 0.236 0.529 N
0.525 0.764 0.529 N
0.928 0.000 0.670 N
```

Results
Energy in eV per atom: -8.61
Symmetry: No. 6
Formation energy without anion corrections in eV/atom: -1.057

=====

3.
Computed, not measured: crystalline SmWN at its relaxed geometry at the PBE-GGA level of DFT.

Cell and atoms, written as POSCAR:
```
SmWN
1.0
3.526 0.000 0.000
0.000 3.526 0.000
0.000 0.000 7.860
Sm W N
2 2 2
Direct
0.250 0.250 0.156 Sm
0.750 0.750 0.844 Sm
0.250 0.250 0.571 W
0.750 0.750 0.429 W
0.250 0.250 0.832 N
0.750 0.750 0.168 N
```

Results
Energy in eV per atom: -9.52
Symmetry: No. 129
Formation energy without anion corrections in eV/atom: -0.851

=====

4.
Computed, not measured: crystalline Sm2WN3 at its relaxed geometry at the PBE-GGA level of DFT.

Cell and atoms, written as POSCAR:
```
Sm2WN3
1.0
3.181 -4.943 0.000
3.181 4.943 0.000
-0.119 0.000 5.579
Sm W N
4 2 6
Direct
0.005 0.666 0.750 Sm
0.334 0.995 0.250 Sm
0.666 0.005 0.750 Sm
0.995 0.334 0.250 Sm
0.409 0.409 0.776 W
0.591 0.591 0.224 W
0.111 0.111 0.767 N
0.335 0.665 0.000 N
0.356 0.644 0.500 N
0.644 0.356 0.500 N
0.665 0.335 0.000 N
0.889 0.889 0.233 N
```

Results
Energy in eV per atom: -8.82
Symmetry: No. 12
Relative energy among the computed polymorphs in meV/atom: 221.9
Formation energy without anion corrections in eV/atom: -0.925

=====

5.
Computed, not measured: crystalline Sm3W2N6 at its relaxed geometry at the PBE-GGA level of DFT.

Cell and atoms, written as POSCAR:
```
Sm3W2N6
1.0
-1.993 1.993 9.628
1.993 -1.993 9.628
1.993 1.993 -9.628
Sm W N
3 2 6
Direct
0.000 0.000 0.000 Sm
0.181 0.181 0.000 Sm
0.819 0.819 0.000 Sm
0.403 0.403 0.000 W
0.597 0.597 0.000 W
0.086 0.586 0.500 N
0.302 0.302 0.000 N
0.414 0.914 0.500 N
0.586 0.086 0.500 N
0.698 0.698 0.000 N
0.914 0.414 0.500 N
```

Results
Energy in eV per atom: -9.25
Symmetry: No. 139
Formation energy without anion corrections in eV/atom: -1.068

=====

6.
Computed, not measured: crystalline SmWN3 at its relaxed geometry at the PBE-GGA level of DFT.

Cell and atoms, written as POSCAR:
```
SmWN3
1.0
5.560 -4.886 0.000
5.560 4.886 0.000
-2.262 0.000 5.947
Sm W N
4 4 12
Direct
0.091 0.909 0.750 Sm
0.298 0.702 0.250 Sm
0.702 0.298 0.750 Sm
0.909 0.091 0.250 Sm
0.201 0.380 0.765 W
0.380 0.201 0.265 W
0.620 0.799 0.735 W
0.799 0.620 0.235 W
0.001 0.223 0.655 N
0.114 0.620 0.848 N
0.223 0.001 0.155 N
0.350 0.357 0.547 N
0.357 0.350 0.047 N
0.380 0.886 0.652 N
0.620 0.114 0.348 N
0.643 0.650 0.953 N
0.650 0.643 0.453 N
0.777 0.999 0.845 N
0.886 0.380 0.152 N
0.999 0.777 0.345 N
```

Results
Energy in eV per atom: -9.50
Symmetry: No. 15
Formation energy without anion corrections in eV/atom: -0.968

=====

7.
Computed, not measured: crystalline Sm2W2N7 at its relaxed geometry at the PBE-GGA level of DFT.

Cell and atoms, written as POSCAR:
```
Sm2W2N7
1.0
3.641 -4.895 0.000
3.641 4.895 0.000
-1.165 0.000 5.327
Sm W N
2 2 7
Direct
0.193 0.807 0.000 Sm
0.807 0.193 0.000 Sm
0.266 0.266 0.595 W
0.734 0.734 0.405 W
0.083 0.083 0.288 N
0.105 0.417 0.787 N
0.417 0.105 0.787 N
0.500 0.500 0.500 N
0.583 0.895 0.213 N
0.895 0.583 0.213 N
0.917 0.917 0.712 N
```

Results
Energy in eV per atom: -8.94
Symmetry: No. 12
Formation energy without anion corrections in eV/atom: -0.426

=====

8.
Computed, not measured: crystalline Sm4WN5 at its relaxed geometry at the PBE-GGA level of DFT.

Cell and atoms, written as POSCAR:
```
Sm4WN5
1.0
-3.837 3.837 2.547
3.837 -3.837 2.547
3.837 3.837 -2.547
Sm W N
4 1 5
Direct
0.104 0.305 0.409 Sm
0.305 0.896 0.201 Sm
0.695 0.104 0.799 Sm
0.896 0.695 0.591 Sm
0.560 0.560 0.000 W
0.237 0.592 0.826 N
0.411 0.237 0.645 N
0.592 0.765 0.355 N
0.765 0.411 0.174 N
0.926 0.926 0.000 N
```

Results
Energy in eV per atom: -8.52
Symmetry: No. 79
Formation energy without anion corrections in eV/atom: -1.176

=====

9.
Computed, not measured: crystalline Sm2W2N5 at its relaxed geometry at the PBE-GGA level of DFT.

Cell and atoms, written as POSCAR:
```
Sm2W2N5
1.0
5.792 -1.944 0.000
5.792 1.944 0.000
-1.774 0.000 5.737
Sm W N
2 2 5
Direct
0.115 0.115 0.309 Sm
0.885 0.885 0.691 Sm
0.361 0.361 0.146 W
0.639 0.639 0.854 W
0.180 0.180 0.963 N
0.346 0.346 0.448 N
0.500 0.500 0.000 N
0.654 0.654 0.552 N
0.820 0.820 0.037 N
```

Results
Energy in eV per atom: -9.38
Symmetry: No. 12
Relative energy among the computed polymorphs in meV/atom: 91.7
Formation energy without anion corrections in eV/atom: -0.826

=====

10.
Computed, not measured: crystalline Sm4Y2N at its relaxed geometry at the PBE-GGA level of DFT.

Cell and atoms, written as POSCAR:
```
Sm4Y2N
1.0
-2.465 2.465 8.860
2.465 -2.465 8.860
2.465 2.465 -8.860
Sm Y N
4 2 1
Direct
0.000 0.500 0.500 Sm
0.134 0.134 0.000 Sm
0.500 0.000 0.500 Sm
0.866 0.866 0.000 Sm
0.334 0.334 0.000 Y
0.666 0.666 0.000 Y
0.000 0.000 0.000 N
```

Results
Energy in eV per atom: -5.96
Symmetry: No. 139
Formation energy without anion corrections in eV/atom: -0.223

=====

Repeat the second record exactly.
Computed, not measured: crystalline Sm3WN4 at its relaxed geometry at the PBE-GGA level of DFT.

Cell and atoms, written as POSCAR:
```
Sm3WN4
1.0
5.199 0.000 0.000
0.000 7.830 0.000
-0.229 0.000 6.771
Sm W N
6 2 8
Direct
0.000 0.000 0.000 Sm
0.019 0.244 0.500 Sm
0.019 0.756 0.500 Sm
0.507 0.234 0.173 Sm
0.507 0.766 0.173 Sm
0.528 0.500 0.695 Sm
0.066 0.500 0.004 W
0.555 0.000 0.642 W
0.015 0.287 0.140 N
0.015 0.713 0.140 N
0.032 0.500 0.712 N
0.437 0.500 0.030 N
0.502 0.000 0.925 N
0.525 0.236 0.529 N
0.525 0.764 0.529 N
0.928 0.000 0.670 N
```

Results
Energy in eV per atom: -8.61
Symmetry: No. 6
Formation energy without anion corrections in eV/atom: -1.057